No. 1
ZrCr3Co: relaxed, PBE-GGA.

Values from the calculation:
M_tot in μB per cell: 9.180
Formation energy from the elements in eV per atom: 2.18

```
ZrCr3Co
1.0
4.643 0.000 0.000
0.000 4.643 0.000
0.000 0.000 4.643
Zr Cr Co
1 3 1
Direct
0.000 0.000 0.000 Zr
0.000 0.000 0.500 Cr
0.000 0.500 0.000 Cr
0.500 0.000 0.000 Cr
0.500 0.500 0.500 Co
```

No. 2
CsSI2Br: relaxed, PBE-GGA.

Values from the calculation:
M_tot in μB per cell: 0.154
Uncorrected formation energy in eV per atom: -0.5046

```
CsSI2Br
1.0
5.620 0.000 0.000
0.000 5.620 0.000
0.000 0.000 5.831
Cs S I Br
1 1 2 1
Direct
0.000 0.000 0.000 Cs
0.500 0.500 0.500 S
0.000 0.500 0.500 I
0.500 0.000 0.500 I
0.500 0.500 0.000 Br
```

No. 3
EuErPdRu: relaxed, PBE-GGA.

Values from the calculation:
M_tot in μB per cell: 26.630
Formation energy from the elements in eV per atom: -0.37

```
EuErPdRu
1.0
6.948 0.000 0.000
0.000 6.948 0.000
0.000 0.000 6.948
Eu Er Pd Ru
4 4 4 4
Direct
0.000 0.000 0.000 Eu
0.000 0.500 0.500 Eu
0.500 0.000 0.500 Eu
0.500 0.500 0.000 Eu
0.000 0.000 0.500 Er
0.000 0.500 0.000 Er
0.500 0.000 0.000 Er
0.500 0.500 0.500 Er
0.250 0.250 0.250 Pd
0.250 0.750 0.750 Pd
0.750 0.250 0.750 Pd
0.750 0.750 0.250 Pd
0.250 0.250 0.750 Ru
0.250 0.750 0.250 Ru
0.750 0.250 0.250 Ru
0.750 0.750 0.750 Ru
```

No. 4
TaTc2Sb: relaxed, PBE-GGA.

Values from the calculation:
M_tot in μB per cell: 0.000
Uncorrected formation energy in eV per atom: 0.1566

```
TaTc2Sb
1.0
3.126 0.000 0.000
-1.563 2.707 0.000
0.000 0.000 25.037
Ta Tc Sb
3 6 3
Direct
0.000 0.000 0.000 Ta
0.333 0.667 0.667 Ta
0.667 0.333 0.333 Ta
0.000 0.000 0.254 Tc
0.000 0.000 0.746 Tc
0.333 0.667 0.413 Tc
0.333 0.667 0.921 Tc
0.667 0.333 0.079 Tc
0.667 0.333 0.587 Tc
0.000 0.000 0.500 Sb
0.333 0.667 0.167 Sb
0.667 0.333 0.833 Sb
```

No. 5
ScSbIN2: relaxed, PBE-GGA.

Values from the calculation:
M_tot in μB per cell: 1.386
Uncorrected formation energy in eV per atom: 0.8999
Relative energy among the computed polymorphs in eV per formula unit: 0.61

```
ScSbIN2
1.0
4.182 0.000 0.000
0.000 4.182 0.000
0.000 0.000 6.043
Sc Sb I N
1 1 1 2
Direct
0.000 0.000 0.000 Sc
0.000 0.000 0.500 Sb
0.500 0.500 0.000 I
0.000 0.500 0.500 N
0.500 0.000 0.500 N
```

No. 6
AlFeSe4: relaxed, PBE-GGA.

Values from the calculation:
M_tot in μB per cell: 3.604
Uncorrected formation energy in eV per atom: 0.8123

```
AlFeSe4
1.0
0.000 4.021 4.021
4.021 0.000 4.021
4.021 4.021 0.000
Al Fe Se
1 1 4
Direct
0.000 0.000 0.000 Al
0.750 0.750 0.750 Fe
0.376 0.376 0.376 Se
0.376 0.376 0.873 Se
0.376 0.873 0.376 Se
0.873 0.376 0.376 Se
```

- Look up the M_tot of the second one.
  0.154 μB per cell